Material: Cs2Ac2RhO6
Method: DFT, GGA-PBE
State: optimized geometry

## Properties
Formation energy without anion corrections   -21.40 eV per formula unit
N(E_F)   0.6514 states/eV per atom
Space group   C2/m (12)

Unit cell a=6.2439 b=6.2439 c=7.2149 alpha=96.52 beta=96.52 gamma=119.14
Fractional positions:
Cs: 0.1608 0.8392 0.0000
Cs: 0.8392 0.1608 0.0000
Ac: 0.3364 0.6636 0.5000
Ac: 0.6636 0.3364 0.5000
Rh: 0.0000 0.0000 0.5000
O: 0.0392 0.3321 0.6548
O: 0.2324 0.2324 0.3336
O: 0.3321 0.0392 0.6548
O: 0.6679 0.9608 0.3452
O: 0.7676 0.7676 0.6664
O: 0.9608 0.6679 0.3452